# K3Bi3Pt2, relaxed, DFT PBE-GGA
# - E_tot (eV/atom) = -3.656
# - E above lowest polymorph (eV per formula unit) = 0.42
# - energy of formation from the pure elements (eV per atom) = -0.2792
data_K3Bi3Pt2
_chemical_formula_sum 'K12 Bi12 Pt8'
_cell_length_a 9.173
_cell_length_b 16.703
_cell_length_c 6.673
_cell_angle_alpha 90.00
_cell_angle_beta 90.00
_cell_angle_gamma 90.00
_symmetry_space_group_name_H-M 'P 1'
_symmetry_Int_Tables_number 1
loop_
_symmetry_equiv_pos_as_xyz
'x,y,z'
loop_
_atom_site_label
_atom_site_type_symbol
_atom_site_fract_x
_atom_site_fract_y
_atom_site_fract_z
_atom_site_occupancy
K1 K 0.034 0.113 0.104 1
K2 K 0.034 0.387 0.104 1
K3 K 0.211 0.250 0.571 1
K4 K 0.289 0.750 0.071 1
K5 K 0.466 0.613 0.604 1
K6 K 0.466 0.887 0.604 1
K7 K 0.534 0.113 0.396 1
K8 K 0.534 0.387 0.396 1
K9 K 0.711 0.250 0.929 1
K10 K 0.789 0.750 0.429 1
K11 K 0.966 0.613 0.896 1
K12 K 0.966 0.887 0.896 1
Bi1 Bi 0.154 0.750 0.550 1
Bi2 Bi 0.168 0.041 0.609 1
Bi3 Bi 0.168 0.459 0.609 1
Bi4 Bi 0.332 0.541 0.109 1
Bi5 Bi 0.332 0.959 0.109 1
Bi6 Bi 0.346 0.250 0.050 1
Bi7 Bi 0.654 0.750 0.950 1
Bi8 Bi 0.668 0.041 0.891 1
Bi9 Bi 0.668 0.459 0.891 1
Bi10 Bi 0.832 0.541 0.391 1
Bi11 Bi 0.832 0.959 0.391 1
Bi12 Bi 0.846 0.250 0.450 1
Pt1 Pt 0.115 0.601 0.384 1
Pt2 Pt 0.115 0.899 0.384 1
Pt3 Pt 0.385 0.101 0.884 1
Pt4 Pt 0.385 0.399 0.884 1
Pt5 Pt 0.615 0.601 0.116 1
Pt6 Pt 0.615 0.899 0.116 1
Pt7 Pt 0.885 0.101 0.616 1
Pt8 Pt 0.885 0.399 0.616 1